# 1
Material: Y2BeCl
Method: DFT, SCAN
State: PBEsol geometry

The calculation puts the density of states at the Fermi level at 4.00 states/eV/f.u. The calculation puts the density at 3.357 g/cm3. The calculation puts the uncorrected formation energy at -263 meV/atom. The spin magnetization is 0.000 μB/atom.

It has space group I-42d (No. 122), with a = 5.775 Å, b = 5.775 Å, c = 13.189 Å, α = 90.00°, β = 90.00° and γ = 90.00°. The inequivalent atoms are Y at (0.237, 0.250, 0.125), Be at (0.000, 0.000, 0.000) and Cl at (0.000, 0.000, 0.500).

---

# 2
Material: Y2Be2Cl
Method: DFT, SCAN
State: PBEsol geometry

The calculation puts the density of states at the Fermi level at 4.07 states/eV/f.u. The calculation puts the density at 4.217 g/cm3. The calculation puts the uncorrected formation energy at -95 meV/atom. The spin magnetization is 0.000 μB/atom.

It has space group I4/mmm (No. 139), with a = 3.264 Å, b = 3.264 Å, c = 17.098 Å, α = 90.00°, β = 90.00° and γ = 90.00°. The inequivalent atoms are Y at (0.000, 0.000, 0.111), Be at (0.000, 0.500, 0.250) and Cl at (0.000, 0.000, 0.500).

---

# 3
Material: YBeCl2
Method: DFT, SCAN
State: PBEsol geometry

The calculation puts the density of states at the Fermi level at 1.41 states/eV/f.u. The calculation puts the density at 3.144 g/cm3. The calculation puts the uncorrected formation energy at -1069 meV/atom. The spin magnetization is 0.000 μB/atom.

It has space group Cmm2 (No. 35), with a = 3.649 Å, b = 5.909 Å, c = 8.271 Å, α = 90.00°, β = 90.00° and γ = 90.00°. The inequivalent atoms are Y at (0.000, 0.000, 0.000), Be at (0.000, 0.500, 0.761), Cl at (0.000, 0.000, 0.630) and Cl at (0.000, 0.500, 0.233).

---

# 4
Material: Y2BeCl
Method: DFT, SCAN
State: PBEsol geometry

The calculation puts the density of states at the Fermi level at 1.92 states/eV/f.u. The calculation puts the density at 4.326 g/cm3. The calculation puts the uncorrected formation energy at -771 meV/atom. The spin magnetization is 0.000 μB/atom.

It has space group R-3m (No. 166, hexagonal axes), with a = 3.8033 Å, b = 3.8033 Å, c = 20.4305 Å, α = 90.00°, β = 90.00° and γ = 120.00°. The inequivalent atoms are Y at (0.0000, 0.0000, 0.2457), Be at (0.0000, 0.0000, 0.5000) and Cl at (0.0000, 0.0000, 0.0000).

---

# 5
Material: BeZnCl3
Method: DFT, SCAN
State: PBEsol geometry

The calculation puts the density at 2.798 g/cm3. The calculation puts the uncorrected formation energy at -277 meV/atom. The spin magnetization is 0.200 μB/atom.

It has space group Pm-3m (No. 221), with a = 4.752 Å, b = 4.752 Å, c = 4.752 Å, α = 90.00°, β = 90.00° and γ = 90.00°. The inequivalent atoms are Be at (0.000, 0.000, 0.000), Zn at (0.500, 0.500, 0.500) and Cl at (0.000, 0.500, 0.500).

---

# 6
Material: Zr2BeCl
Method: DFT, SCAN
State: PBEsol geometry

The calculation puts the density of states at the Fermi level at 3.44 states/eV/f.u. The calculation puts the density at 5.430 g/cm3. The calculation puts the uncorrected formation energy at 733 meV/atom. The spin magnetization is 0.001 μB/atom.

It has space group F-43m (No. 216), with a = 6.523 Å, b = 6.523 Å, c = 6.523 Å, α = 90.00°, β = 90.00° and γ = 90.00°. The inequivalent atoms are Zr at (0.000, 0.000, 0.000), Zr at (0.250, 0.250, 0.250), Be at (0.250, 0.250, 0.750) and Cl at (0.000, 0.000, 0.500).

---

# 7
Material: Zr2BeCl
Method: DFT, SCAN
State: PBEsol geometry

The calculation puts the density of states at the Fermi level at 1.38 states/eV/f.u. The calculation puts the density at 5.642 g/cm3. The calculation puts the uncorrected formation energy at -477 meV/atom. The spin magnetization is 0.000 μB/atom.

It has space group Pmmm (No. 47), with a = 3.177 Å, b = 4.129 Å, c = 5.092 Å, α = 90.00°, β = 90.00° and γ = 90.00°. The inequivalent atoms are Zr at (0.000, 0.000, 0.000), Zr at (0.500, 0.500, 0.500), Be at (0.000, 0.000, 0.500) and Cl at (0.500, 0.500, 0.000).

---

# 8
Material: Zr2BeCl
Method: DFT, SCAN
State: PBEsol geometry

The calculation puts the density of states at the Fermi level at 3.71 states/eV/f.u. The calculation puts the density at 5.739 g/cm3. The calculation puts the uncorrected formation energy at -183 meV/atom. The spin magnetization is 0.000 μB/atom.

It has space group P4/mmm (No. 123), with a = 4.700 Å, b = 4.700 Å, c = 2.973 Å, α = 90.00°, β = 90.00° and γ = 90.00°. The inequivalent atoms are Zr at (0.000, 0.500, 0.000), Be at (0.000, 0.000, 0.500) and Cl at (0.500, 0.500, 0.500).

---

# 9
Material: Zr2BeCl
Method: DFT, SCAN
State: PBEsol geometry

The calculation puts the density of states at the Fermi level at 2.14 states/eV/f.u. The calculation puts the density at 4.520 g/cm3. The calculation puts the uncorrected formation energy at -266 meV/atom. The spin magnetization is 0.000 μB/atom.

It has space group P4mm (No. 99), with a = 3.078 Å, b = 3.078 Å, c = 8.797 Å, α = 90.00°, β = 90.00° and γ = 90.00°. The inequivalent atoms are Zr at (0.000, 0.000, 0.000), Zr at (0.500, 0.500, 0.274), Be at (0.000, 0.000, 0.452) and Cl at (0.500, 0.500, 0.818).

---

# 10
Material: Zr4BeCl
Method: DFT, SCAN
State: PBEsol geometry

The calculation puts the density of states at the Fermi level at 4.13 states/eV/f.u. The calculation puts the density at 5.389 g/cm3. The calculation puts the uncorrected formation energy at 690 meV/atom. The spin magnetization is 0.000 μB/atom.

It has space group F-43m (No. 216), with a = 7.961 Å, b = 7.961 Å, c = 7.961 Å, α = 90.00°, β = 90.00° and γ = 90.00°. The inequivalent atoms are Zr at (0.122, 0.122, 0.378), Be at (0.250, 0.250, 0.750) and Cl at (0.000, 0.000, 0.000).

---

# 11
Material: Zr2BeCl
Method: DFT, SCAN
State: PBEsol geometry

The calculation puts the density of states at the Fermi level at 2.81 states/eV/f.u. The calculation puts the density at 5.264 g/cm3. The calculation puts the uncorrected formation energy at 26 meV/atom. The spin magnetization is 0.000 μB/atom.

It has space group Pmmm (No. 47), with a = 3.233 Å, b = 4.168 Å, c = 5.313 Å, α = 90.00°, β = 90.00° and γ = 90.00°. The inequivalent atoms are Zr at (0.000, 0.000, 0.000), Zr at (0.500, 0.000, 0.500), Be at (0.000, 0.500, 0.500) and Cl at (0.500, 0.500, 0.000).

---

# 12
Material: ZrBeCl3
Method: DFT, SCAN
State: PBEsol geometry

The calculation puts the density of states at the Fermi level at 2.16 states/eV/f.u. The calculation puts the density at 3.957 g/cm3. The calculation puts the uncorrected formation energy at -445 meV/atom. The spin magnetization is 0.534 μB/atom.

It has space group Pm-3m (No. 221), with a = 4.426 Å, b = 4.426 Å, c = 4.426 Å, α = 90.00°, β = 90.00° and γ = 90.00°. The inequivalent atoms are Zr at (0.000, 0.000, 0.000), Be at (0.500, 0.500, 0.500) and Cl at (0.000, 0.500, 0.500).